# 1
## BaCl (GGA-PBE)

Data for crystalline BaCl at its relaxed geometry.

a = 9.5843 Å, b = 9.5843 Å, c = 9.5843 Å
α = 90.00°, β = 90.00°, γ = 90.00°
Fractional positions:
1 Ba 0.3142 0.6858 0.6858
2 Ba 0.6858 0.3142 0.6858
3 Ba 0.6858 0.6858 0.3142
4 Ba 0.8142 0.8142 0.8142
5 Ba 0.1858 0.8142 0.1858
6 Ba 0.8142 0.1858 0.1858
7 Ba 0.1858 0.1858 0.8142
8 Ba 0.3142 0.3142 0.3142
9 Cl 0.1342 0.1342 0.1342
10 Cl 0.6342 0.6342 0.6342
11 Cl 0.1342 0.8658 0.8658
12 Cl 0.8658 0.1342 0.8658
13 Cl 0.6342 0.3658 0.3658
14 Cl 0.3658 0.3658 0.6342
15 Cl 0.8658 0.8658 0.1342
16 Cl 0.3658 0.6342 0.3658

Crystal system = cubic
Raw formation energy = -1673 meV per atom
E = -3.5574 eV per atom


# 2
## NbHgRu3 (GGA-PBE)

Data for crystalline NbHgRu3 at its relaxed geometry.

a = 4.7373 Å, b = 4.7373 Å, c = 4.7373 Å
α = 90.00°, β = 90.00°, γ = 90.00°
Site moments in Bohr magnetons follow the coordinates.
Fractional positions:
1 Hg 0.5000 0.5000 0.5000  -0.01
2 Nb 0.0000 0.0000 0.0000  -0.22
3 Ru 0.0000 0.5000 0.0000  0.98
4 Ru 0.5000 0.0000 0.0000  0.82
5 Ru 0.0000 0.0000 0.5000  1.02

Distance to the lowest polymorph of the same formula = 0 meV/atom
Crystal system = cubic
E = -6.1793 eV per atom
Formation energy = 1.4605 eV per atom


# 3
## PmSc5Cd4 (GGA-PBE)

Data for crystalline PmSc5Cd4 at its relaxed geometry.

a = 3.5026 Å, b = 3.5026 Å, c = 19.2075 Å
α = 90.00°, β = 90.00°, γ = 90.00°
Fractional positions:
1 Cd 0.0000 0.0000 0.7822
2 Cd 0.0000 0.0000 0.4058
3 Cd 0.0000 0.0000 0.2178
4 Cd 0.0000 0.0000 0.5942
5 Sc 0.5000 0.5000 0.3132
6 Sc 0.5000 0.5000 0.5000
7 Sc 0.5000 0.5000 0.6868
8 Sc 0.5000 0.5000 0.1243
9 Sc 0.5000 0.5000 0.8757
10 Pm 0.0000 0.0000 0.0000

Crystal system = tetragonal
E = -4.2233 eV per atom
Formation energy = -0.2165 eV per atom


# 4
## GdYAgRh (GGA-PBE)

Data for crystalline GdYAgRh at its relaxed geometry.

a = 5.0216 Å, b = 5.0216 Å, c = 5.0216 Å
α = 60.00°, β = 60.00°, γ = 60.00°
Site moments in Bohr magnetons follow the coordinates.
Fractional positions:
1 Rh 0.2500 0.2500 0.2500  0.02
2 Ag 0.7500 0.7500 0.7500  -0.01
3 Gd 0.5000 0.5000 0.5000  -7.03
4 Y 0.0000 0.0000 0.0000  -0.03

Crystal system = cubic
E = -8.2293 eV per atom
Formation energy = -0.5424 eV per atom


# 5
## Sr2CaMg (GGA-PBE)

Data for crystalline Sr2CaMg at its relaxed geometry.

a = 6.1333 Å, b = 6.1333 Å, c = 6.1333 Å
α = 60.00°, β = 60.00°, γ = 60.00°
Fractional positions:
1 Mg 0.7500 0.7500 0.7500
2 Sr 0.0000 0.0000 0.0000
3 Sr 0.2500 0.2500 0.2500
4 Ca 0.5000 0.5000 0.5000

Crystal system = cubic
E = -1.6939 eV per atom
Formation energy = 0.0461 eV per atom


# 6
## KRb2LiSn (GGA-PBE)

Data for crystalline KRb2LiSn at its relaxed geometry.

a = 6.6900 Å, b = 6.6900 Å, c = 5.3640 Å
α = 90.00°, β = 90.00°, γ = 90.00°
Fractional positions:
1 Li 0.0000 0.0000 0.0000
2 Rb 0.5000 0.0000 0.0000
3 Rb 0.0000 0.5000 0.0000
4 Sn 0.0000 0.0000 0.5000
5 K 0.5000 0.5000 0.5000

Crystal system = tetragonal
E = -1.7840 eV per atom
Formation energy = 0.0058 eV per atom


# 7
## K6TlAu3 (GGA-PBE)

Data for crystalline K6TlAu3 at its relaxed geometry.

a = 6.6729 Å, b = 9.7547 Å, c = 11.4518 Å
α = 87.45°, β = 90.00°, γ = 90.00°
Fractional positions:
1 K 0.2257 0.7989 0.2731
2 K 0.7257 0.7011 0.2269
3 K 0.0352 0.6499 0.9033
4 K 0.4861 0.1656 0.0870
5 K 0.5352 0.8501 0.5967
6 K 0.9648 0.3501 0.0967
7 K 0.4648 0.1499 0.4033
8 K 0.7743 0.2011 0.7269
9 K 0.9861 0.3344 0.4130
10 K 0.0139 0.6656 0.5870
11 K 0.5139 0.8344 0.9130
12 K 0.2743 0.2989 0.7731
13 Tl 0.0000 0.0000 0.0000
14 Tl 0.5000 0.5000 0.5000
15 Au 0.5000 0.5000 0.0000
16 Au 0.0000 0.0000 0.5000
17 Au 0.8871 0.0457 0.2557
18 Au 0.6129 0.5457 0.7557
19 Au 0.3871 0.4543 0.2443
20 Au 0.1129 0.9543 0.7443

Crystal system = monoclinic
E = -2.0380 eV per atom
Formation energy = -0.1597 eV per atom


# 8
## Ta4Pt5 (GGA-PBE)

Data for crystalline Ta4Pt5 at its relaxed geometry.

a = 6.4909 Å, b = 6.4909 Å, c = 6.4909 Å
α = 95.15°, β = 95.15°, γ = 145.13°
Fractional positions:
1 Pt 0.0000 0.0000 0.0000
2 Pt 0.6689 0.3311 0.0000
3 Pt 0.3311 0.6689 0.0000
4 Pt 0.3311 0.3311 0.6622
5 Pt 0.6689 0.6689 0.3378
6 Ta 0.3263 0.0000 0.3263
7 Ta 0.6737 0.0000 0.6737
8 Ta 0.0000 0.3263 0.3263
9 Ta 0.0000 0.6737 0.6737

Distance to the lowest polymorph of the same formula = 18 meV/atom
Crystal system = tetragonal
E = -9.1523 eV per atom
Formation energy = -0.5284 eV per atom


# 9
## CrAsSe2N (GGA-PBE)

Data for crystalline CrAsSe2N at its relaxed geometry.

a = 4.9970 Å, b = 4.9970 Å, c = 3.5409 Å
α = 90.00°, β = 90.00°, γ = 90.00°
Site moments in Bohr magnetons follow the coordinates.
Fractional positions:
1 Se 0.0000 0.5000 0.0000  -0.09
2 Se 0.5000 0.0000 0.0000  -0.09
3 Cr 0.0000 0.0000 0.0000  1.74
4 N 0.0000 0.0000 0.5000  -0.30
5 As 0.5000 0.5000 0.5000  0.09

Distance to the lowest polymorph of the same formula = 0 meV/atom
Crystal system = tetragonal
Raw formation energy = 266 meV per atom
E = -5.6479 eV per atom


# 10
## MgMnAu (GGA-PBE)

Data for crystalline MgMnAu at its relaxed geometry.

a = 4.5102 Å, b = 4.5102 Å, c = 2.9294 Å
α = 90.00°, β = 90.00°, γ = 120.00°
Site moments in Bohr magnetons follow the coordinates.
Fractional positions:
1 Mg 0.3333 0.6667 0.3042  -0.03
2 Au 0.0000 0.0000 0.0059  0.02
3 Mn 0.6667 0.3333 0.6899  3.68

Crystal system = trigonal
E = -4.7226 eV per atom
Formation energy = -0.0421 eV per atom


# 11
## Tb8TlAg2 (GGA-PBE)

Data for crystalline Tb8TlAg2 at its relaxed geometry.

a = 5.4929 Å, b = 8.3804 Å, c = 8.3804 Å
α = 117.24°, β = 99.86°, γ = 99.86°
Fractional positions:
1 Ag 0.0000 0.6959 0.3041
2 Ag 0.0000 0.3041 0.6959
3 Tb 0.5000 0.2287 0.7713
4 Tb 0.8983 0.9081 0.6745
5 Tb 0.3036 0.6022 0.6022
6 Tb 0.1017 0.0919 0.3255
7 Tb 0.6964 0.3978 0.3978
8 Tb 0.1017 0.3255 0.0919
9 Tb 0.8983 0.6745 0.9081
10 Tb 0.5000 0.7713 0.2287
11 Tl 0.5000 0.0000 0.0000

Distance to the lowest polymorph of the same formula = 107 meV/atom
Crystal system = monoclinic
E = -4.1460 eV per atom
Formation energy = -0.0450 eV per atom


# 12
## Cs3Tb2PmSe6 (GGA-PBE)

Data for crystalline Cs3Tb2PmSe6 at its relaxed geometry.

a = 7.4730 Å, b = 7.4730 Å, c = 8.7498 Å
α = 98.18°, β = 98.18°, γ = 120.00°
Fractional positions:
1 Cs 0.5000 0.5000 0.5000
2 Cs 0.1655 0.8345 0.5000
3 Cs 0.8345 0.1655 0.5000
4 Tb 0.3332 0.6668 0.0000
5 Tb 0.6668 0.3332 0.0000
6 Se 0.9375 0.5990 0.8126
7 Se 0.5990 0.9375 0.8126
8 Se 0.0625 0.4010 0.1874
9 Se 0.4010 0.0625 0.1874
10 Se 0.2763 0.2763 0.8132
11 Se 0.7237 0.7237 0.1868
12 Pm 0.0000 0.0000 0.0000

Crystal system = monoclinic
Raw formation energy = -1731 meV per atom
E = -4.8541 eV per atom